First-principles (meta-GGA SCAN) data for a crystal of CoSb3Mo relaxed with PBEsol, as listed in Alexandria.

Properties
ΔE_f (raw)   0.909 eV per atom

Cell lengths 4.821, 4.821, 4.821 Å; angles 90.00, 90.00, 90.00 degrees
Fractional positions:
Co 0.000 0.000 0.000
Sb 0.000 0.000 0.500
Sb 0.000 0.500 0.000
Sb 0.500 0.000 0.000
Mo 0.500 0.500 0.500



First-principles (meta-GGA SCAN) data for a crystal of Ce3Si4Rh4 relaxed with PBEsol, as listed in Alexandria.

Properties
ΔE_f (raw)   -1.098 eV per atom

Cell lengths 12.476, 12.476, 12.476 Å; angles 161.93, 160.93, 26.38 degrees
Fractional positions:
Ce 0.000 0.000 0.000
Ce 0.356 0.856 0.500
Ce 0.644 0.144 0.500
Si 0.197 0.697 0.500
Si 0.452 0.452 0.000
Si 0.548 0.548 0.000
Si 0.803 0.303 0.500
Rh 0.098 0.598 0.500
Rh 0.251 0.251 0.000
Rh 0.749 0.749 0.000
Rh 0.902 0.402 0.500